This record from Alexandria describes a crystal of TlCd2In relaxed with PBEsol. The functional is meta-GGA SCAN.

It has space group Pmm2 (No. 25), with a = 3.2017 Å, b = 4.6267 Å, c = 6.4503 Å, α = 90.00°, β = 90.00° and γ = 90.00°. The inequivalent atoms are Tl at (0.0000, 0.0000, 0.0000), Cd at (0.0000, 0.0000, 0.4902), Cd at (0.5000, 0.5000, 0.2569) and In at (0.5000, 0.5000, 0.7347).

Its energy above the most stable polymorph in this dataset is 0.74 kcal/mol of atoms. The electronic total energy is -166.2 eV for the cell shown. As for the crystal system: orthorhombic.